Record 1
{
  "formula": "LiLa2Ga2",
  "functional": "PBE",
  "state": "optimized geometry",
  "formation_energy_ev_per_atom": -0.463,
  "energy_ev_per_fu": -20.14,
  "spacegroup": "No. 12",
  "magmom_total_mub_per_cell": 0.00,
  "e_above_lowest_polymorph_ev_per_atom": 0.000,
  "cell": [[-3.6239, -2.8973, 1.2275], [0.4639, -2.2858, 5.3567], [-6.4454, 6.1399, 4.8465]],
  "species": ["Li", "Li", "La", "La", "La", "La", "Ga", "Ga", "Ga", "Ga"],
  "frac_coords": [[0.6434, 0.0793, 0.6340], [0.3566, 0.9207, 0.3660], [0.6864, 0.3022, 0.3251], [0.9169, 0.2704, 0.8958], [0.3136, 0.6978, 0.6749], [0.0831, 0.7296, 0.1042], [0.0719, 0.2887, 0.5676], [0.6236, 0.8623, 0.8905], [0.9281, 0.7113, 0.4324], [0.3764, 0.1377, 0.1095]]
}

---

Record 2
{
  "formula": "LiLaGa",
  "functional": "PBE",
  "state": "optimized geometry",
  "formation_energy_ev_per_atom": -0.228,
  "energy_ev_per_fu": -10.55,
  "spacegroup": "No. 107",
  "magmom_total_mub_per_cell": 0.32,
  "e_above_lowest_polymorph_ev_per_atom": 0.152,
  "cell": [[-0.1683, -0.6519, 3.4302], [-3.2509, -1.2237, -0.3920], [3.8172, -4.3712, -2.4246]],
  "species": ["La", "Ga", "Li"],
  "frac_coords": [[0.9393, 0.9393, 0.8786], [0.2586, 0.2586, 0.5172], [0.6521, 0.6521, 0.3043]]
}

---

Record 3
{
  "formula": "LiLaGa",
  "functional": "PBE",
  "state": "optimized geometry",
  "formation_energy_ev_per_atom": -0.207,
  "energy_ev_per_fu": -10.49,
  "spacegroup": "No. 216",
  "magmom_total_mub_per_cell": 0.00,
  "e_above_lowest_polymorph_ev_per_atom": 0.173,
  "cell": [[4.9114, 0.0000, 0.0000], [2.4557, 4.2534, 0.0000], [2.4557, 1.4178, 4.0101]],
  "species": ["Li", "Ga", "La"],
  "frac_coords": [[0.5000, 0.5000, 0.5000], [0.2500, 0.2500, 0.2500], [0.0000, 0.0000, 0.0000]]
}

---

Record 4
{
  "formula": "Li2LaGa6",
  "functional": "PBE",
  "state": "optimized geometry",
  "formation_energy_ev_per_atom": -0.356,
  "energy_ev_per_fu": -30.12,
  "spacegroup": "No. 71",
  "magmom_total_mub_per_cell": 0.00,
  "e_above_lowest_polymorph_ev_per_atom": 0.000,
  "cell": [[4.2239, 0.0000, 0.0000], [0.0000, 7.2106, 0.0000], [-2.1119, -3.6053, 5.8781]],
  "species": ["Li", "Li", "La", "Ga", "Ga", "Ga", "Ga", "Ga", "Ga"],
  "frac_coords": [[0.8849, 0.8849, 0.7699], [0.1151, 0.1151, 0.2301], [0.0000, 0.5000, 0.0000], [0.6959, 0.8846, 0.3918], [0.3041, 0.1154, 0.6082], [0.3041, 0.4928, 0.6082], [0.5000, 0.1689, 0.0000], [0.5000, 0.8311, 0.0000], [0.6959, 0.5072, 0.3918]]
}